The following is a PBE calculation of an optimized crystal structure of Na2Al9Pd3, from Alexandria via LeMat-Bulk.

## Properties
Crystal system: monoclinic
Space group: C2/c
E_tot (eV per atom): -4.1426
DFT formation energy (eV/atom): -0.436

abc: 7.6161 7.6161 10.5934
angles: 111.33 111.33 59.92
Last column: nearest neighbours and their distance in Å.
Positions (direct):
Na  0.0843  0.2521  0.2488  11 Al 3.05-3.15
Na  0.2521  0.0843  0.7488  11 Al 3.05-3.15
Na  0.7479  0.9157  0.2512  11 Al 3.05-3.15
Na  0.9157  0.7479  0.7512  11 Al 3.05-3.15
Al  0.0234  0.8595  0.0755  3 Pd 2.60-2.65, 4 Al 2.79-2.89
Al  0.1405  0.9766  0.4245  3 Pd 2.60-2.65, 4 Al 2.79-2.89
Al  0.1915  0.3572  0.5702  3 Pd 2.60-2.62, 5 Al 2.80-2.89
Al  0.2111  0.5823  0.2516  2 Pd 2.59-2.60, 6 Al 2.74-2.86
Al  0.3123  0.4816  0.9395  3 Pd 2.61-2.64, 5 Al 2.79-2.88
Al  0.3572  0.1915  0.0702  3 Pd 2.60-2.62, 5 Al 2.80-2.89
Al  0.3733  0.6267  0.7500  2 Pd 2.60, 6 Al 2.74-2.88
Al  0.4177  0.7889  0.2484  2 Pd 2.59-2.60, 6 Al 2.74-2.86
Al  0.4816  0.3123  0.4395  3 Pd 2.61-2.64, 5 Al 2.79-2.88
Al  0.5184  0.6877  0.5605  3 Pd 2.61-2.64, 5 Al 2.79-2.88
Al  0.5823  0.2111  0.7516  2 Pd 2.59-2.60, 6 Al 2.74-2.86
Al  0.6267  0.3733  0.2500  2 Pd 2.60, 6 Al 2.74-2.88
Al  0.6428  0.8085  0.9298  3 Pd 2.60-2.62, 5 Al 2.80-2.89
Al  0.6877  0.5184  0.0605  3 Pd 2.61-2.64, 5 Al 2.79-2.88
Al  0.7889  0.4177  0.7484  2 Pd 2.59-2.60, 6 Al 2.74-2.86
Al  0.8085  0.6428  0.4298  3 Pd 2.60-2.62, 5 Al 2.80-2.89
Al  0.8595  0.0234  0.5755  3 Pd 2.60-2.65, 4 Al 2.79-2.89
Al  0.9766  0.1405  0.9245  3 Pd 2.60-2.65, 4 Al 2.79-2.89
Pd  0.0000  0.5000  0.0000  8 Al 2.60-2.64
Pd  0.1605  0.6692  0.4994  8 Al 2.59-2.65
Pd  0.3308  0.8395  0.0006  8 Al 2.59-2.65
Pd  0.5000  0.0000  0.5000  8 Al 2.60-2.64
Pd  0.6692  0.1605  0.9994  8 Al 2.59-2.65
Pd  0.8395  0.3308  0.5006  8 Al 2.59-2.65

The following is a PBE calculation of an optimized crystal structure of CeNd3Ge2, from Alexandria via LeMat-Bulk.

## Properties
Crystal system: tetragonal
Space group: P-4m2
E_tot (eV per atom): -5.4827
DFT formation energy (eV/atom): -0.571

abc: 4.4448 4.4448 8.4079
angles: 90.00 90.00 90.00
Last column: nearest neighbours and their distance in Å.
Positions (direct):
Ce  0.0000  0.0000  0.0000  4 Nd 3.14, 4 Ge 3.19
Nd  0.0000  0.5000  0.3590  5 Ge 3.09-3.23
Nd  0.5000  0.0000  0.6410  5 Ge 3.09-3.23
Nd  0.5000  0.5000  0.0000  4 Ce 3.14, 4 Ge 3.19
Ge  0.0000  0.5000  0.7270  7 Nd 3.09-3.23, 2 Ce 3.19
Ge  0.5000  0.0000  0.2730  7 Nd 3.09-3.23, 2 Ce 3.19

The following is a PBE calculation of an optimized crystal structure of LaPr3Ga2, from Alexandria via LeMat-Bulk.

## Properties
Crystal system: orthorhombic
Energy relative to the lowest polymorph listed for this composition (eV/atom): 0.000
Space group: Pmc2_1
E_tot (eV per atom): -4.6071
DFT formation energy (eV/atom): -0.387

abc: 5.2617 9.8047 6.7962
angles: 90.00 90.00 90.00
Last column: nearest neighbours and their distance in Å.
Positions (direct):
La  0.0000  0.0545  0.0000  3 Ga 3.20, 3 Pr 3.50-3.53, 2 La 3.56
La  0.0000  0.9455  0.5000  3 Ga 3.20, 3 Pr 3.50-3.53, 2 La 3.56
Pr  0.0000  0.3342  0.6792  4 Ga 3.13-3.23, 1 La 3.50
Pr  0.0000  0.6658  0.1792  4 Ga 3.13-3.23, 1 La 3.50
Pr  0.5000  0.1671  0.3047  4 Ga 3.16-3.23, 1 Pr 3.47, 2 La 3.53
Pr  0.5000  0.4435  0.9852  3 Ga 3.18, 3 Pr 3.47-3.52
Pr  0.5000  0.5565  0.4852  3 Ga 3.18, 3 Pr 3.47-3.52
Pr  0.5000  0.8329  0.8047  4 Ga 3.16-3.23, 1 Pr 3.47, 2 La 3.53
Ga  0.0000  0.3469  0.2077  6 Pr 3.13-3.23, 1 La 3.20
Ga  0.0000  0.6531  0.7077  6 Pr 3.13-3.23, 1 La 3.20
Ga  0.5000  0.1541  0.7749  5 Pr 3.16-3.23, 2 La 3.20
Ga  0.5000  0.8459  0.2749  5 Pr 3.16-3.23, 2 La 3.20

The following is a PBE calculation of an optimized crystal structure of ZnCuRh2, from Alexandria via LeMat-Bulk.

## Properties
Crystal system: monoclinic
Space group: Pm
E_tot (eV per atom): -5.1054
DFT formation energy (eV/atom): -0.087

abc: 2.7389 3.7526 5.3407
angles: 90.00 90.69 90.00
Last column: nearest neighbours and their distance in Å.
Positions (direct):
Zn  0.0000  0.0000  0.0000  6 Rh 2.63-2.71, 4 Cu 2.64-2.67, 2 Zn 2.74
Cu  0.4951  0.5000  0.2421  4 Zn 2.64-2.67, 6 Rh 2.67-2.69, 2 Cu 2.74
Rh  0.5007  0.5000  0.7418  2 Cu 2.67, 6 Rh 2.68-2.74, 4 Zn 2.69-2.71
Rh  0.9952  0.0000  0.4921  2 Zn 2.63-2.71, 4 Cu 2.67-2.69, 6 Rh 2.68-2.74

The following is a PBE calculation of an optimized crystal structure of Tl4HgPb15, from Alexandria via LeMat-Bulk.

## Properties
Crystal system: tetragonal
Space group: P4/mmm
E_tot (eV per atom): -3.2631
DFT formation energy (eV/atom): 0.006

abc: 4.9919 4.9919 24.9054
angles: 90.00 90.00 90.00
Last column: nearest neighbours and their distance in Å.
Positions (direct):
Tl  0.0000  0.0000  0.1006  12 Pb 3.53-3.56
Tl  0.0000  0.0000  0.3021  12 Pb 3.52-3.55
Tl  0.0000  0.0000  0.6979  12 Pb 3.52-3.55
Tl  0.0000  0.0000  0.8994  12 Pb 3.53-3.56
Hg  0.0000  0.0000  0.5000  12 Pb 3.47-3.53
Pb  0.0000  0.5000  0.0000  8 Pb 3.53, 4 Tl 3.54
Pb  0.0000  0.5000  0.2026  8 Pb 3.51-3.56, 4 Tl 3.52-3.56
Pb  0.0000  0.5000  0.4035  2 Hg 3.47, 8 Pb 3.47-3.56, 2 Tl 3.55
Pb  0.0000  0.5000  0.5965  2 Hg 3.47, 8 Pb 3.47-3.56, 2 Tl 3.55
Pb  0.0000  0.5000  0.7974  8 Pb 3.51-3.56, 4 Tl 3.52-3.56
Pb  0.5000  0.0000  0.0000  8 Pb 3.53, 4 Tl 3.54
Pb  0.5000  0.0000  0.2026  8 Pb 3.51-3.56, 4 Tl 3.52-3.56
Pb  0.5000  0.0000  0.4035  2 Hg 3.47, 8 Pb 3.47-3.56, 2 Tl 3.55
Pb  0.5000  0.0000  0.5965  2 Hg 3.47, 8 Pb 3.47-3.56, 2 Tl 3.55
Pb  0.5000  0.0000  0.7974  8 Pb 3.51-3.56, 4 Tl 3.52-3.56
Pb  0.5000  0.5000  0.1004  4 Tl 3.53, 8 Pb 3.53-3.56
Pb  0.5000  0.5000  0.3014  8 Pb 3.51-3.56, 4 Tl 3.53
Pb  0.5000  0.5000  0.5000  8 Pb 3.47, 4 Hg 3.53
Pb  0.5000  0.5000  0.6986  8 Pb 3.51-3.56, 4 Tl 3.53
Pb  0.5000  0.5000  0.8996  4 Tl 3.53, 8 Pb 3.53-3.56

The following is a PBE calculation of an optimized crystal structure of Mg2TlBi, from Alexandria via LeMat-Bulk.

## Properties
Crystal system: tetragonal
Energy relative to the lowest polymorph listed for this composition (eV/atom): 0.160
Space group: I-42d
E_tot (eV per atom): -2.2958
DFT formation energy (eV/atom): 0.063

abc: 6.7230 6.7230 6.7230
angles: 105.45 105.45 117.85
Last column: nearest neighbours and their distance in Å.
Positions (direct):
Mg  0.1168  0.6250  0.9918  2 Bi 2.96, 2 Tl 3.05
Mg  0.3750  0.3668  0.4918  2 Bi 2.96, 2 Tl 3.05
Mg  0.6332  0.1250  0.0082  2 Bi 2.96, 2 Tl 3.05
Mg  0.8750  0.8832  0.5082  2 Bi 2.96, 2 Tl 3.05
Tl  0.2500  0.7500  0.5000  4 Mg 3.05
Tl  0.5000  0.5000  0.0000  4 Mg 3.05
Bi  0.0000  0.0000  0.0000  4 Mg 2.96
Bi  0.7500  0.2500  0.5000  4 Mg 2.96

The following is a PBE calculation of an optimized crystal structure of Dy2Ag2GeO6, from Alexandria via LeMat-Bulk.

## Properties
Crystal system: monoclinic
Formation energy from raw total energies (kJ per mole of atoms): -193.5
Space group: C2/m
E_tot (eV per atom): -6.4852

abc: 5.8050 5.8050 6.3572
angles: 94.38 94.38 121.03
Last column: nearest neighbours and their distance in Å.
Positions (direct):
Dy  0.1629  0.8371  0.0000  6 O 2.25-2.32
Dy  0.8371  0.1629  0.0000  6 O 2.25-2.32
Ag  0.3497  0.6503  0.5000  2 O 2.10
Ag  0.6503  0.3497  0.5000  2 O 2.10
Ge  0.5000  0.5000  0.0000  6 O 1.88-2.01
O  0.1883  0.1883  0.8526  1 Ge 1.88
O  0.2389  0.5379  0.1686  1 Ge 2.01, 1 Ag 2.10
O  0.4621  0.7611  0.8314  1 Ge 2.01, 1 Ag 2.10
O  0.5379  0.2389  0.1686  1 Ge 2.01, 1 Ag 2.10
O  0.7611  0.4621  0.8314  1 Ge 2.01, 1 Ag 2.10
O  0.8117  0.8117  0.1474  1 Ge 1.88

The following is a PBE calculation of an optimized crystal structure of DyZrNb, from Alexandria via LeMat-Bulk.

## Properties
Crystal system: hexagonal
Energy relative to the lowest polymorph listed for this composition (eV/atom): 0.140
Space group: P6_3mc
E_tot (eV per atom): -7.4362
DFT formation energy (eV/atom): 0.304

abc: 3.2030 3.2030 15.8275
angles: 90.00 90.00 120.00
Last column: nearest neighbours and their distance in Å.
Positions (direct):
Dy  0.3333  0.6667  0.0000  3 Nb 3.18, 6 Dy 3.20, 3 Zr 3.43
Dy  0.6667  0.3333  0.5000  3 Nb 3.18, 6 Dy 3.20, 3 Zr 3.43
Zr  0.3333  0.6667  0.3173  3 Nb 3.06, 6 Zr 3.20
Zr  0.6667  0.3333  0.8173  3 Nb 3.06, 6 Zr 3.20
Nb  0.0000  0.0000  0.1635  3 Zr 3.06, 3 Dy 3.18, 6 Nb 3.20
Nb  0.0000  0.0000  0.6635  3 Zr 3.06, 3 Dy 3.18, 6 Nb 3.20

What did the eighth record say?
The following is a PBE calculation of an optimized crystal structure of DyZrNb, from Alexandria via LeMat-Bulk.

## Properties
Crystal system: hexagonal
Energy relative to the lowest polymorph listed for this composition (eV/atom): 0.140
Space group: P6_3mc
E_tot (eV per atom): -7.4362
DFT formation energy (eV/atom): 0.304

abc: 3.2030 3.2030 15.8275
angles: 90.00 90.00 120.00
Last column: nearest neighbours and their distance in Å.
Positions (direct):
Dy  0.3333  0.6667  0.0000  3 Nb 3.18, 6 Dy 3.20, 3 Zr 3.43
Dy  0.6667  0.3333  0.5000  3 Nb 3.18, 6 Dy 3.20, 3 Zr 3.43
Zr  0.3333  0.6667  0.3173  3 Nb 3.06, 6 Zr 3.20
Zr  0.6667  0.3333  0.8173  3 Nb 3.06, 6 Zr 3.20
Nb  0.0000  0.0000  0.1635  3 Zr 3.06, 3 Dy 3.18, 6 Nb 3.20
Nb  0.0000  0.0000  0.6635  3 Zr 3.06, 3 Dy 3.18, 6 Nb 3.20

E_tot of number 3 (LaPr3Ga2)?
-4.6071 eV per atom

Look up the E_tot of the second one.
-5.4827 eV per atom